Record 1
! ZrCo2Se (PBE-GGA, optimized geometry); values from VASP
! Symmetry   No. 99
! Formation energy without anion corrections   -167 meV/atom
! Calculated total energy   -6.728 eV/atom
! D(E_F)   5.05 states/eV per cell
&SYSTEM
  ibrav = 0, nat = 4, ntyp = 3
/
ATOMIC_SPECIES
Co 58.93 Co.upf
Se 78.96 Se.upf
Zr 91.22 Zr.upf
CELL_PARAMETERS angstrom
3.307 -0.022 0.000
0.022 3.307 0.000
0.000 0.000 5.802
ATOMIC_POSITIONS angstrom
Co 1.665 1.643 1.122
Se 0.000 0.000 2.877
Zr 1.665 1.643 4.363
Co 0.000 0.000 0.341

=====

Record 2
! NbPt3Au (PBE-GGA, optimized geometry); values from VASP
! Symmetry   No. 221
! Calculated total energy   -4.737 eV/atom
! E above lowest polymorph   11.85 kcal/mol of atoms
! D(E_F)   9.75 states/eV per cell
! Energy relative to the elements   1.56 eV per atom
&SYSTEM
  ibrav = 0, nat = 5, ntyp = 3
/
ATOMIC_SPECIES
Pt 195.08 Pt.upf
Nb 92.91 Nb.upf
Au 196.97 Au.upf
CELL_PARAMETERS angstrom
-3.588 0.934 -3.143
-3.279 -1.074 3.424
-0.037 4.648 1.423
ATOMIC_POSITIONS angstrom
Pt -1.639 -0.537 1.712
Nb -3.452 2.253 0.852
Pt -0.019 2.324 0.711
Pt -1.794 0.467 -1.571
Au 0.000 0.000 0.000

=====

Record 3
! HfTiReNi (PBE-GGA, optimized geometry); values from VASP
! Symmetry   No. 216
! Calculated total energy   -9.414 eV/atom
! D(E_F)   3.26 states/eV per cell
! Energy relative to the elements   -0.39 eV per atom
&SYSTEM
  ibrav = 0, nat = 4, ntyp = 4
/
ATOMIC_SPECIES
Ti 47.87 Ti.upf
Re 186.21 Re.upf
Ni 58.69 Ni.upf
Hf 178.49 Hf.upf
CELL_PARAMETERS angstrom
4.468 0.000 0.000
2.234 3.869 0.000
2.234 1.290 3.648
ATOMIC_POSITIONS angstrom
Ti 4.468 2.579 1.824
Re 6.701 3.869 2.736
Ni 2.234 1.290 0.912
Hf 0.000 0.000 0.000

=====

Record 4
! LiNpPH (PBE-GGA, optimized geometry); values from VASP
! Symmetry   No. 129
! Calculated total energy   -6.500 eV/atom
! D(E_F)   12.82 states/eV per cell
&SYSTEM
  ibrav = 0, nat = 8, ntyp = 4
/
ATOMIC_SPECIES
Li 6.94 Li.upf
P 30.97 P.upf
H 1.01 H.upf
Np 237.00 Np.upf
CELL_PARAMETERS angstrom
3.903 0.000 0.000
0.000 3.903 0.000
0.000 0.000 7.466
ATOMIC_POSITIONS angstrom
Li 1.951 1.951 3.733
Li 0.000 0.000 3.733
P 1.951 0.000 5.374
H 0.000 0.000 0.000
Np 0.000 1.951 6.424
P 0.000 1.951 2.091
Np 1.951 0.000 1.041
H 1.951 1.951 0.000

=====

Record 5
! SiTeMoN2 (PBE-GGA, optimized geometry); values from VASP
! Symmetry   No. 123
! Formation energy without anion corrections   711 meV/atom
! Calculated total energy   -6.498 eV/atom
! E above lowest polymorph   0.00 kcal/mol of atoms
! D(E_F)   2.39 states/eV per cell
&SYSTEM
  ibrav = 0, nat = 5, ntyp = 4
/
ATOMIC_SPECIES
Si 28.09 Si.upf
Mo 95.94 Mo.upf
Te 127.60 Te.upf
N 14.01 N.upf
CELL_PARAMETERS angstrom
3.956 0.000 0.000
0.000 3.956 0.000
0.000 0.000 5.638
ATOMIC_POSITIONS angstrom
Si 1.978 1.978 2.819
Mo 0.000 0.000 0.000
Te 0.000 0.000 2.819
N 0.000 1.978 0.000
N 1.978 0.000 0.000

=====

Record 6
! FeBiI (PBE-GGA, optimized geometry); values from VASP
! Symmetry   No. 156
! Formation energy without anion corrections   228 meV/atom
! Calculated total energy   -4.403 eV/atom
! E above lowest polymorph   2.02 kcal/mol of atoms
! D(E_F)   2.55 states/eV per cell
&SYSTEM
  ibrav = 0, nat = 3, ntyp = 3
/
ATOMIC_SPECIES
Bi 208.98 Bi.upf
Fe 55.84 Fe.upf
I 126.90 I.upf
CELL_PARAMETERS angstrom
3.725 0.000 0.000
-1.863 3.226 0.000
0.000 0.000 7.226
ATOMIC_POSITIONS angstrom
Bi 0.000 0.000 0.226
Fe 0.000 2.151 2.045
I 1.863 1.075 3.633

=====

Record 7
! CaNiRu (PBE-GGA, optimized geometry); values from VASP
! Symmetry   No. 69
! Calculated total energy   -5.458 eV/atom
! E above lowest polymorph   6.68 kcal/mol of atoms
! D(E_F)   29.52 states/eV per cell
! Energy relative to the elements   0.23 eV per atom
&SYSTEM
  ibrav = 0, nat = 24, ntyp = 3
/
ATOMIC_SPECIES
Ni 58.69 Ni.upf
Ca 40.08 Ca.upf
Ru 101.07 Ru.upf
CELL_PARAMETERS angstrom
-1.663 7.245 4.820
3.157 -3.963 7.045
4.678 1.796 -1.086
ATOMIC_POSITIONS angstrom
Ni 3.882 2.168 2.152
Ca 2.839 0.270 0.573
Ca 2.078 -2.609 4.639
Ru 0.511 2.668 6.615
Ru 1.272 5.547 2.550
Ca 1.078 -1.353 2.406
Ca -0.331 2.994 3.526
Ru 0.983 0.615 5.249
Ru 2.490 5.135 7.117
Ca 1.825 0.288 8.339
Ca 4.995 -2.437 5.386
Ru 1.743 3.494 1.184
Ca 2.586 3.167 4.273
Ni 3.051 5.790 4.562
Ni 5.460 0.186 5.674
Ni 4.629 3.809 8.084
Ni 0.712 4.892 5.105
Ca 3.586 1.911 6.506
Ru 3.682 -0.057 3.662
Ru -0.236 1.027 0.683
Ni 3.121 -0.712 6.217
Ru -1.427 6.218 4.137
Ni 2.290 2.911 8.627
Ni 1.543 1.270 2.695

=====

Record 8
! LiInTe (PBE-GGA, optimized geometry); values from VASP
! Symmetry   No. 216
! Formation energy without anion corrections   -482 meV/atom
! Calculated total energy   -3.080 eV/atom
! E above lowest polymorph   1.22 kcal/mol of atoms
&SYSTEM
  ibrav = 0, nat = 3, ntyp = 3
/
ATOMIC_SPECIES
Li 6.94 Li.upf
Te 127.60 Te.upf
In 114.82 In.upf
CELL_PARAMETERS angstrom
4.876 0.000 0.000
2.438 4.223 0.000
2.438 1.408 3.981
ATOMIC_POSITIONS angstrom
Li 7.314 4.223 2.986
Te 0.000 0.000 0.000
In 4.876 2.815 1.991